Compound: ZrTa2VRu
Source: the Alexandria database
Functional: PBE-GGA
Structure: optimized geometry

a b c (Å): 4.879 4.879 4.344
angles (deg): 90.00 90.00 90.00
Space group P4/mmm (No. 123)
Unique sites:
Zr (0.000, 0.000, 0.000) [1 per cell]
Ta (0.000, 0.500, 0.000) [2 per cell]
V (0.000, 0.000, 0.500) [1 per cell]
Ru (0.500, 0.500, 0.500) [1 per cell]

Calculated values
Density of states at the Fermi level, states/eV per atom: 1.507
Energy relative to the elements, meV/atom: 2056